LaY4Tm: relaxed, PBE.

```
12
Lattice="6.599 -0.940 0.000 -1.951 6.336 0.000 -2.324 -2.698 9.856" Properties=species:S:1:pos:R:3 pbc="T T T"
La 4.949 -0.705 0.594
La -2.625 3.403 9.262
Y 0.508 -1.583 5.906
Y -1.459 4.738 2.510
Y -0.467 1.585 3.949
Y -0.484 1.570 7.346
Y 1.816 4.280 3.949
Y 2.791 1.112 5.906
Y 3.783 -2.040 7.346
Y 2.808 1.128 2.510
Tm 0.674 2.933 0.609
Tm 1.650 -0.235 9.247
```

## Properties
DFT total energy: -69.94 eV for the cell shown
N(E_F): 1.95 states/eV per atom
space group: C2/c (15)